# K2SmVO4

An optimized crystal structure of K2SmVO4 (GGA+U, Alexandria).

The structure in CIF format:
```
data_K2SmVO4
_space_group_name_H-M_alt 'I -4'
_space_group_IT_number 82
_cell_length_a 6.157
_cell_length_b 6.157
_cell_length_c 7.452
_cell_angle_alpha 90.00
_cell_angle_beta 90.00
_cell_angle_gamma 90.00
loop_
_space_group_symop_operation_xyz
'x,y,z'
'y,-x,-z'
'-x,-y,z'
'-y,x,-z'
'x+1/2,y+1/2,z+1/2'
'y+1/2,-x+1/2,-z+1/2'
'-x+1/2,-y+1/2,z+1/2'
'-y+1/2,x+1/2,-z+1/2'
loop_
_atom_site_label
_atom_site_fract_x
_atom_site_fract_y
_atom_site_fract_z
K1 0.000 0.000 0.000
K2 0.000 0.500 0.250
Sm1 0.000 0.000 0.500
V1 0.000 0.500 0.750
O1 0.153 0.754 0.681
```

Computed properties:
DFT total energy ... -6.346 eV per atom
Total magnetization ... 0.005 μB/atom